[1]
Here is a relaxed LaCe2Ir2 crystal from Alexandria. Energies are from GGA-PBE.

Properties
Space group   I4_1md, No. 109
ΔE_f   -0.368 eV per atom
Fermi-level density of states   18.8 states/eV per cell

Lattice parameters (Å, degrees): 6.642 6.642 7.841 115.06 115.06 90.00
Each line ends with the local moment (μB).
Atoms (fractional coordinates):
La  0.982  0.982  0.964  0.04
La  0.232  0.732  0.464  0.04
Ce  0.656  0.893  0.312  0.29
Ce  0.669  0.406  0.812  0.29
Ce  0.143  0.406  0.812  0.29
Ce  0.656  0.419  0.312  0.29
Ir  0.443  0.748  0.887  -0.03
Ir  0.389  0.193  0.387  -0.03
Ir  0.998  0.193  0.387  -0.03
Ir  0.443  0.139  0.887  -0.03


[2]
Here is a relaxed SrMgNi2 crystal from Alexandria. Energies are from GGA-PBE.

Properties
Space group   I-4m2, No. 119
ΔE_f   0.276 eV per atom
Fermi-level density of states   1.8 states/eV per cell

Lattice parameters (Å, degrees): 5.454 5.454 5.454 136.71 136.71 62.89
Atoms (fractional coordinates):
Mg  0.750  0.250  0.500
Ni  0.000  0.000  0.000
Ni  0.250  0.750  0.500
Sr  0.500  0.500  0.000


[3]
Here is a relaxed Pm4Pr3Ir4 crystal from Alexandria. Energies are from GGA-PBE.

Properties
Space group   Immm, No. 71
ΔE_f   -0.491 eV per atom
Fermi-level density of states   9.1 states/eV per cell

Lattice parameters (Å, degrees): 4.545 8.067 9.150 116.15 104.38 90.00
Atoms (fractional coordinates):
Pm  0.331  0.122  0.663
Pm  0.669  0.459  0.337
Pm  0.669  0.878  0.337
Pm  0.331  0.541  0.663
Pr  0.100  0.100  0.201
Pr  0.900  0.900  0.799
Pr  0.000  0.500  0.000
Ir  0.211  0.711  0.421
Ir  0.789  0.289  0.579
Ir  0.500  0.819  0.000
Ir  0.500  0.181  0.000


[4]
Here is a relaxed LuZrMnRh crystal from Alexandria. Energies are from GGA-PBE.

Properties
Space group   F-43m, No. 216
ΔE_f   -0.343 eV per atom
Fermi-level density of states   5.5 states/eV per cell

Lattice parameters (Å, degrees): 4.648 4.648 4.648 60.00 60.00 60.00
Each line ends with the local moment (μB).
Atoms (fractional coordinates):
Rh  0.750  0.750  0.750  0.03
Mn  0.250  0.250  0.250  1.19
Lu  0.500  0.500  0.500  -0.10
Zr  0.000  0.000  0.000  -0.24


[5]
Here is a relaxed PrHo2Mg2In2 crystal from Alexandria. Energies are from GGA-PBE.

Properties
Space group   R-3m, No. 166
ΔE_f   -0.241 eV per atom
Fermi-level density of states   4.2 states/eV per cell

Lattice parameters (Å, degrees): 5.022 5.022 9.307 74.35 74.35 60.00
Atoms (fractional coordinates):
Pr  0.000  0.000  0.000
Ho  0.131  0.131  0.607
Ho  0.869  0.869  0.393
Mg  0.593  0.593  0.222
Mg  0.407  0.407  0.778
In  0.741  0.741  0.778
In  0.259  0.259  0.222


[6]
Here is a relaxed Er2Zn2Ga3 crystal from Alexandria. Energies are from GGA-PBE.

Properties
Space group   C2/m, No. 12
ΔE_f   -0.460 eV per atom
Fermi-level density of states   2.1 states/eV per cell

Lattice parameters (Å, degrees): 4.268 5.623 6.562 111.24 90.00 112.30
Atoms (fractional coordinates):
Er  0.849  0.698  0.227
Er  0.151  0.302  0.773
Zn  0.850  0.700  0.752
Zn  0.150  0.300  0.248
Ga  0.500  0.000  0.000
Ga  0.597  0.194  0.430
Ga  0.403  0.806  0.570


[7]
Here is a relaxed PuMgSiAg crystal from Alexandria. Energies are from GGA-PBE.

Properties
E_form (uncorrected)   -0.140 eV/atom
Space group   F-43m, No. 216
Fermi-level density of states   9.1 states/eV per cell

Lattice parameters (Å, degrees): 4.882 4.882 4.882 60.00 60.00 60.00
Each line ends with the local moment (μB).
Atoms (fractional coordinates):
Si  0.000  0.000  0.000  -0.04
Mg  0.250  0.250  0.250  0.00
Ag  0.500  0.500  0.500  0.02
Pu  0.750  0.750  0.750  5.21


[8]
Here is a relaxed AcPm8Sm4 crystal from Alexandria. Energies are from GGA-PBE.

Properties
Space group   R-3m, No. 166
ΔE_f   0.487 eV per atom
Fermi-level density of states   20.7 states/eV per cell

Lattice parameters (Å, degrees): 11.270 11.270 7.977 90.00 134.94 120.00
Each line ends with the local moment (μB).
Atoms (fractional coordinates):
Ac  0.000  0.500  0.500  0.02
Pm  0.526  0.763  0.290  0.06
Pm  0.474  0.237  0.710  0.06
Pm  0.474  0.237  0.239  0.06
Pm  0.998  0.236  0.761  0.06
Pm  0.526  0.763  0.761  0.06
Pm  0.998  0.763  0.761  0.06
Pm  0.002  0.237  0.239  0.06
Pm  0.002  0.764  0.239  0.06
Sm  0.000  0.000  0.000  -0.06
Sm  0.000  0.500  0.000  0.17
Sm  0.500  0.500  0.000  0.17
Sm  0.500  0.000  0.000  0.17


[9]
Here is a relaxed CaTeAs2 crystal from Alexandria. Energies are from GGA-PBE.

Properties
E_form (uncorrected)   -0.352 eV/atom
Space group   Immm, No. 71
Fermi-level density of states   1.6 states/eV per cell

Lattice parameters (Å, degrees): 6.033 6.033 6.033 139.86 136.46 60.70
Atoms (fractional coordinates):
As  0.018  0.018  0.000
As  0.482  0.482  0.000
Te  0.250  0.750  0.500
Ca  0.750  0.250  0.500


[10]
Here is a relaxed BaEu2Ni crystal from Alexandria. Energies are from GGA-PBE.

Properties
Space group   P4/mmm, No. 123
ΔE_f   0.037 eV per atom
Fermi-level density of states   20.0 states/eV per cell

Lattice parameters (Å, degrees): 3.722 3.722 10.177 90.00 90.00 90.00
Each line ends with the local moment (μB).
Atoms (fractional coordinates):
Eu  0.000  0.000  0.838  6.93
Eu  0.000  0.000  0.162  6.93
Ni  0.500  0.500  0.000  -0.26
Ba  0.500  0.500  0.500  0.02


[11]
Here is a relaxed NdTlNi crystal from Alexandria. Energies are from GGA-PBE.

Properties
Space group   P-6m2, No. 187
ΔE_f   -0.224 eV per atom
Fermi-level density of states   2.1 states/eV per cell

Lattice parameters (Å, degrees): 3.796 4.619 4.619 120.00 90.00 90.00
Atoms (fractional coordinates):
Ni  0.167  0.000  0.000
Tl  0.167  0.333  0.667
Nd  0.667  0.667  0.333


[12]
Here is a relaxed AsIr3 crystal from Alexandria. Energies are from GGA-PBE.

Properties
Space group   P6_3/mmc, No. 194
ΔE_f   0.321 eV per atom
Fermi-level density of states   5.9 states/eV per cell

Lattice parameters (Å, degrees): 5.605 5.605 4.422 90.00 90.00 120.00
Atoms (fractional coordinates):
As  0.333  0.667  0.250
As  0.667  0.333  0.750
Ir  0.835  0.670  0.250
Ir  0.330  0.165  0.250
Ir  0.835  0.165  0.250
Ir  0.165  0.330  0.750
Ir  0.670  0.835  0.750
Ir  0.165  0.835  0.750